Record 1
DFT (PBE) results for a relaxed structure of CaTbDy2.

The structure in POSCAR format:
```
CaTbDy2
1.0
1.7963 1.0371 12.0098
-1.7963 1.0371 12.0098
0.0000 -2.0742 12.0098
Ca Tb Dy
1 1 2
Cartesian
0.0000 0.0000 0.0000 Ca
0.0000 0.0000 5.9707 Tb
0.0000 0.0000 20.8214 Dy
0.0000 0.0000 27.1730 Dy
```

Total moment   0.0 μB/cell
VASP energy   -3.8982 eV per atom
Offset from the most stable computed form   0.00 eV per formula unit



Record 2
DFT (PBE) results for a relaxed structure of CaTb4Dy6.

The structure in POSCAR format:
```
CaTb4Dy6
1.0
-3.2663 3.2663 8.6824
3.2663 -3.2663 8.6824
3.2663 3.2663 -8.6824
Ca Tb Dy
1 4 6
Cartesian
0.0000 0.0000 0.0000 Ca
2.0494 -2.0494 5.6178 Tb
1.2168 1.2168 3.0646 Tb
-2.0494 2.0494 5.6178 Tb
2.0494 2.0494 11.7470 Tb
3.2663 0.0000 0.0000 Dy
2.1228 2.1228 -2.2939 Dy
1.1435 -1.1435 10.9763 Dy
0.0000 3.2663 0.0000 Dy
1.1435 1.1435 6.3885 Dy
-1.1435 1.1435 10.9763 Dy
```

Total moment   0.0 μB/cell
VASP energy   -4.0314 eV per atom



Record 3
DFT (PBE) results for a relaxed structure of CaTb3Dy5.

The structure in POSCAR format:
```
CaTb3Dy5
1.0
8.4808 -4.9160 0.0000
8.4808 4.9160 0.0000
0.0000 0.0000 6.9768
Ca Tb Dy
2 6 10
Cartesian
8.4808 3.4310 5.2326 Ca
8.4808 -3.4310 1.7442 Ca
2.9159 0.0000 0.0000 Tb
2.9159 0.0000 3.4884 Tb
8.4808 0.0000 0.0000 Tb
8.4808 0.0000 3.4884 Tb
14.0457 0.0000 0.0000 Tb
14.0457 0.0000 3.4884 Tb
5.5233 1.7457 1.7442 Dy
5.7458 1.4948 5.2326 Dy
8.4808 3.0465 1.7442 Dy
5.7458 -1.4948 1.7442 Dy
11.4383 1.7457 1.7442 Dy
5.5233 -1.7457 5.2326 Dy
11.2158 1.4948 5.2326 Dy
8.4808 -3.0465 5.2326 Dy
11.2158 -1.4948 1.7442 Dy
11.4383 -1.7457 5.2326 Dy
```

Total moment   0.0 μB/cell
VASP energy   -4.2234 eV per atom



Record 4
DFT (PBE) results for a relaxed structure of CaTbDy.

The structure in POSCAR format:
```
CaTbDy
1.0
3.6326 0.0000 0.0000
0.0000 3.6326 0.0000
0.0000 0.0000 15.7295
Ca Tb Dy
2 2 2
Cartesian
0.9082 0.9082 1.5015 Ca
2.7245 2.7245 14.2280 Ca
0.9082 0.9082 11.4737 Tb
2.7245 2.7245 4.2558 Tb
0.9082 0.9082 6.6153 Dy
2.7245 2.7245 9.1142 Dy
```

Total moment   0.0 μB/cell
VASP energy   -3.6968 eV per atom
Offset from the most stable computed form   0.00 eV per formula unit